Compound: Tb5Ge3
Source: OQMD
Functional: PBE
Structure: relaxed

Unit cell a=8.5523 b=8.5523 c=6.4550 alpha=90.00 beta=90.00 gamma=120.00
Last column: nearest neighbours and their distance in Å.
Fractional positions:
Tb: 0.0000 0.2423 0.2500  3 Ge 2.94-3.12
Tb: 0.0000 0.7577 0.7500  3 Ge 2.94-3.12
Tb: 0.2423 0.0000 0.2500  3 Ge 2.94-3.12
Tb: 0.2423 0.2423 0.7500  3 Ge 2.94-3.12
Tb: 0.3333 0.6667 0.0000  6 Ge 3.09, 2 Tb 3.23
Tb: 0.3333 0.6667 0.5000  6 Ge 3.09, 2 Tb 3.23
Tb: 0.6667 0.3333 0.0000  6 Ge 3.09, 2 Tb 3.23
Tb: 0.6667 0.3333 0.5000  6 Ge 3.09, 2 Tb 3.23
Tb: 0.7577 0.0000 0.7500  3 Ge 2.94-3.12
Tb: 0.7577 0.7577 0.2500  3 Ge 2.94-3.12
Ge: 0.0000 0.3934 0.7500  7 Tb 2.94-3.12
Ge: 0.0000 0.6066 0.2500  7 Tb 2.94-3.12
Ge: 0.3934 0.0000 0.7500  7 Tb 2.94-3.12
Ge: 0.3934 0.3934 0.2500  7 Tb 2.94-3.12
Ge: 0.6066 0.0000 0.2500  7 Tb 2.94-3.12
Ge: 0.6066 0.6066 0.7500  7 Tb 2.94-3.12

## Properties
* SG: P6_3/mcm, No. 193
* V: 204.44 Å³/f.u.
* electronic total energy: -5.417 eV per atom
* crystal system: hexagonal